(1)
4
Lattice="2.9915 0.0000 0.0000 0.0000 2.9915 0.0000 0.0000 0.0000 4.7554" Properties=species:S:1:pos:R:3 comment="PBE Be2CrSi, relaxed" total_magnetization_mub_per_atom=0.43 formation_energy_uncorrected_mev_per_atom=77.1 sg="No. 123" rho_g_cm3=3.8 dos_ef_per_ev_cell=1.3 pbc="T T T"
Be 0.0000 0.0000 1.1404
Be 0.0000 0.0000 3.6151
Cr 1.4957 1.4957 0.0000
Si 1.4957 1.4957 2.3777

=====

(2)
4
Lattice="0.0000 3.2709 3.2709 3.2709 0.0000 3.2709 3.2709 3.2709 0.0000" Properties=species:S:1:pos:R:3 comment="PBE LaTc2Ru, relaxed" total_magnetization_mub_per_atom=0.33 e_above_lowest_polymorph_mev_per_atom=278.4 sg="No. 225" rho_g_cm3=10.3 formation_enthalpy_0k_mev_per_atom=521 dos_ef_per_ev_cell=5.8 pbc="T T T"
La 0.0000 0.0000 0.0000
Tc 1.6354 1.6354 1.6354
Tc 4.9063 4.9063 4.9063
Ru 3.2709 3.2709 3.2709

=====

What is the formula in the first record? Be2CrSi